# BiTeClO4 PBE optimized geometry
data_BiTeClO4
_cell_length_a 11.2997
_cell_length_b 7.6350
_cell_length_c 7.3050
_cell_angle_alpha 90.00
_cell_angle_beta 116.52
_cell_angle_gamma 90.00
_symmetry_space_group_name_H-M 'C 1 2/m 1'
_symmetry_Int_Tables_number 12
loop_
_symmetry_equiv_pos_as_xyz
'x,y,z'
'-x,-y,-z'
'-x,y,-z'
'x,-y,z'
'x+1/2,y+1/2,z'
'-x+1/2,-y+1/2,-z'
'-x+1/2,y+1/2,-z'
'x+1/2,-y+1/2,z'
loop_
_atom_site_label
_atom_site_fract_x
_atom_site_fract_y
_atom_site_fract_z
Bi1 0.2191 0.0000 0.1992
Te1 0.1296 0.5000 0.2157
Cl1 0.0102 0.0000 0.2504
O1 0.0613 0.5000 0.8937
O2 0.1408 0.5000 0.4805
O3 0.2257 0.3025 0.2195
# - formation energy without anion corrections (eV per atom) = -0.927

# LaFeMo2 PBE optimized geometry
data_LaFeMo2
_cell_length_a 6.5899
_cell_length_b 6.5899
_cell_length_c 6.5899
_cell_angle_alpha 90.00
_cell_angle_beta 90.00
_cell_angle_gamma 90.00
_symmetry_space_group_name_H-M 'F -4 3 m'
_symmetry_Int_Tables_number 216
_symmetry_space_group_name_Hall 'F -4 2 3'
loop_
_atom_site_label
_atom_site_fract_x
_atom_site_fract_y
_atom_site_fract_z
La1 0.0000 0.0000 0.0000
Fe1 0.2500 0.2500 0.7500
Mo1 0.0000 0.0000 0.5000
Mo2 0.2500 0.2500 0.2500
# - formation enthalpy at 0 K (kJ/mol of atoms) = 51.47
# - energy above the lowest structure with this stoichiometry (eV/atom) = 0.084

# Tb2Er4TmMg PBE optimized geometry
data_Tb2Er4TmMg
_cell_length_a 4.9264
_cell_length_b 4.9139
_cell_length_c 9.9199
_cell_angle_alpha 90.00
_cell_angle_beta 90.05
_cell_angle_gamma 90.00
_symmetry_space_group_name_H-M 'P 1 2/m 1'
_symmetry_Int_Tables_number 10
loop_
_symmetry_equiv_pos_as_xyz
'x,y,z'
'-x,-y,-z'
'-x,y,-z'
'x,-y,z'
loop_
_atom_site_label
_atom_site_fract_x
_atom_site_fract_y
_atom_site_fract_z
Tb1 0.0000 0.0000 0.0000
Tb2 0.5000 0.5000 0.5000
Er1 0.9998 0.5000 0.2503
Er2 0.4995 0.0000 0.2503
Tm1 0.5000 0.5000 0.0000
Mg1 0.0000 0.0000 0.5000
# - formation enthalpy at 0 K (kJ/mol of atoms) = 2.55

# Sm2Er2Sc5 PBE optimized geometry
data_Sm2Er2Sc5
_cell_length_a 11.7211
_cell_length_b 8.3773
_cell_length_c 10.4208
_cell_angle_alpha 90.00
_cell_angle_beta 90.00
_cell_angle_gamma 90.00
_symmetry_space_group_name_H-M 'I m a 2'
_symmetry_Int_Tables_number 46
loop_
_symmetry_equiv_pos_as_xyz
'x,y,z'
'-x,-y,z'
'-x+1/2,y,z'
'x+1/2,-y,z'
'x+1/2,y+1/2,z+1/2'
'-x+1/2,-y+1/2,z+1/2'
'-x,y+1/2,z+1/2'
'x,-y+1/2,z+1/2'
loop_
_atom_site_label
_atom_site_fract_x
_atom_site_fract_y
_atom_site_fract_z
Sm1 0.0000 0.0000 0.0000
Sm2 0.2500 0.1029 0.1153
Er1 0.1059 0.1260 0.4278
Sc1 0.1015 0.6972 0.7442
Sc2 0.1250 0.0647 0.7330
Sc3 0.2500 0.7041 0.0048
# - formation enthalpy at 0 K (kJ/mol of atoms) = 19.08

# Sc2CuSnPd4 PBE optimized geometry
data_Sc2CuSnPd4
_cell_length_a 4.5476
_cell_length_b 4.5476
_cell_length_c 22.6311
_cell_angle_alpha 90.00
_cell_angle_beta 90.00
_cell_angle_gamma 120.00
_symmetry_space_group_name_H-M 'R -3 m'
_symmetry_Int_Tables_number 166
_symmetry_space_group_name_Hall '-R 3 2"'
loop_
_atom_site_label
_atom_site_fract_x
_atom_site_fract_y
_atom_site_fract_z
Sc1 0.0000 0.0000 0.2461
Cu1 0.0000 0.0000 0.5000
Sn1 0.0000 0.0000 0.0000
Pd1 0.0000 0.0000 0.1272
Pd2 0.0000 0.0000 0.3778
# - formation enthalpy at 0 K (kJ/mol of atoms) = -71.83

# Sm6Pd2Ru PBE optimized geometry
data_Sm6Pd2Ru
_cell_length_a 6.6269
_cell_length_b 7.5128
_cell_length_c 12.0823
_cell_angle_alpha 90.00
_cell_angle_beta 121.83
_cell_angle_gamma 90.00
_symmetry_space_group_name_H-M 'P 1 21/c 1'
_symmetry_Int_Tables_number 14
loop_
_symmetry_equiv_pos_as_xyz
'x,y,z'
'-x,-y,-z'
'-x,y+1/2,-z+1/2'
'x,-y+1/2,z+1/2'
loop_
_atom_site_label
_atom_site_fract_x
_atom_site_fract_y
_atom_site_fract_z
Sm1 0.0926 0.1801 0.4318
Sm2 0.2607 0.6781 0.4317
Sm3 0.3999 0.0394 0.2493
Pd1 0.1813 0.1166 0.7433
Ru1 0.5000 0.0000 0.5000
# - formation enthalpy at 0 K (kJ/mol of atoms) = -42.35

# BiRhI PBE optimized geometry
data_BiRhI
_cell_length_a 4.4129
_cell_length_b 7.0120
_cell_length_c 5.1633
_cell_angle_alpha 90.00
_cell_angle_beta 90.00
_cell_angle_gamma 90.00
_symmetry_space_group_name_H-M 'P m n 21'
_symmetry_Int_Tables_number 31
loop_
_symmetry_equiv_pos_as_xyz
'x,y,z'
'-x+1/2,-y,z+1/2'
'-x,y,z'
'x+1/2,-y,z+1/2'
loop_
_atom_site_label
_atom_site_fract_x
_atom_site_fract_y
_atom_site_fract_z
Bi1 0.0000 0.0393 0.0000
Rh1 0.0000 0.2192 0.4945
I1 0.0000 0.5910 0.7957
# - formation energy without anion corrections (eV per atom) = -0.052

# CsZnOF2 PBE optimized geometry
data_CsZnOF2
_cell_length_a 4.4040
_cell_length_b 4.4040
_cell_length_c 4.0863
_cell_angle_alpha 90.00
_cell_angle_beta 90.00
_cell_angle_gamma 90.00
_symmetry_space_group_name_H-M 'P 4/m m m'
_symmetry_Int_Tables_number 123
_symmetry_space_group_name_Hall '-P 4 2'
loop_
_atom_site_label
_atom_site_fract_x
_atom_site_fract_y
_atom_site_fract_z
Cs1 0.0000 0.0000 0.0000
Zn1 0.5000 0.5000 0.5000
O1 0.5000 0.5000 0.0000
F1 0.0000 0.5000 0.5000
# - energy above the lowest structure with this stoichiometry (eV/atom) = 0.000
# - formation energy without anion corrections (eV per atom) = -1.751

Number 1: DFT total energy -0.3695 Ry per atom, DOS(E_F) 0.0 states/eV/cell. Number 2: DFT total energy -0.6049 Ry per atom, DOS(E_F) 20.9 states/eV/cell. Number 3: DFT total energy -0.3065 Ry per atom, DOS(E_F) 11.8 states/eV/cell. Number 4: DFT total energy -0.3956 Ry per atom, DOS(E_F) 51.2 states/eV/cell. Number 5: DFT total energy -0.4363 Ry per atom, DOS(E_F) 12.6 states/eV/cell. Number 6: DFT total energy -0.4241 Ry per atom, DOS(E_F) 16.0 states/eV/cell. Number 7: DFT total energy -0.3170 Ry per atom, DOS(E_F) 5.6 states/eV/cell. Number 8: DFT total energy -0.2879 Ry per atom, DOS(E_F) 5.0 states/eV/cell.